LiPaInO6 | Alexandria via LeMat-Bulk | PBE-GGA | optimized geometry; formation energy from raw total energies = -1.77 eV/atom; symmetry = P312; size of the total moment = 3.0 μB/f.u.
1.0
4.832 0.000 0.000
0.000 5.379 0.000
0.000 -2.690 4.659
Li Pa In O
1 1 1 6
Direct
0.500 0.000 0.000
0.000 0.333 0.667
0.500 0.667 0.333
0.742 0.660 0.669
0.742 0.331 0.992
0.742 0.008 0.340
0.258 0.331 0.340
0.258 0.660 0.992
0.258 0.008 0.669